1.
Computed, not measured: a geometry-optimized BaYbSi4N7 structure at the GGA-PBE level of DFT.

abc: 6.1025 6.1025 9.9301
angles: 90.00 90.00 120.00
With the nearest neighbours (Å) after each atom.
Space group P6_3mc (No. 186)
Inequivalent atoms, fractional coordinates:
Ba: 0.3333 0.6667 0.0000 [2 per cell]  12 N 3.01-3.09
Yb: 0.3333 0.6667 0.3727 [2 per cell]  6 N 2.33-2.36
Si: 0.0000 0.0000 0.4511 [2 per cell]  4 N 1.72-1.89
Si: 0.1743 0.3486 0.6834 [6 per cell]  3 N 1.72-1.73
N: 0.0000 0.0000 0.2609 [2 per cell]  4 Si 1.89-2.00
N: 0.0252 0.5126 0.7355 [6 per cell]  2 Si 1.73
N: 0.1521 0.3042 0.5114 [6 per cell]  2 Si 1.72

Properties
The density is 5.40 g/cm³. The calculation puts the size of the total moment at 1.76 μB per cell. The density of states at the Fermi level is 27.55 states/eV/cell. The total energy is -7.546 eV/atom. For the raw formation energy, the calculation gives -1416 kJ/mol of formula units.

2.
Computed, not measured: a geometry-optimized CrCuBMo2 structure at the GGA-PBE level of DFT.

abc: 4.1845 4.1845 3.8376
angles: 90.00 90.00 90.00
With the nearest neighbours (Å) after each atom.
Space group P4/mmm (No. 123)
Inequivalent atoms, fractional coordinates:
Cr: 0.0000 0.0000 0.0000 [1 per cell]  2 B 1.92
Cu: 0.5000 0.5000 0.0000 [1 per cell]  8 Mo 2.84, 4 Cr 2.96
B: 0.0000 0.0000 0.5000 [1 per cell]  2 Cr 1.92, 4 Mo 2.09
Mo: 0.0000 0.5000 0.5000 [2 per cell]  2 B 2.09

Properties
The density is 7.86 g/cm³. The calculation puts the size of the total moment at 0.51 μB per cell. The density of states at the Fermi level is 4.65 states/eV/cell. The total energy is -8.041 eV/atom. The energy relative to the lowest polymorph listed for this composition comes out at 0.0 meV per atom. As for the energy of formation: 371 meV/atom.

3.
Computed, not measured: a geometry-optimized Cs4Ac3PuSe8 structure at the GGA-PBE level of DFT.

abc: 9.1659 9.1659 25.2088
angles: 90.00 90.00 120.00
With the nearest neighbours (Å) after each atom.
Space group R-3m (No. 166, hexagonal axes)
Inequivalent atoms, fractional coordinates:
Cs: 0.0000 0.0000 0.0000 [3 per cell]  6 Se 3.78
Cs: 0.0000 0.5000 0.0000 [9 per cell]  6 Se 3.66-3.67
Ac: 0.0000 0.5000 0.5000 [9 per cell]  6 Se 3.13-3.14
Pu: 0.0000 0.0000 0.5000 [3 per cell]  6 Se 3.01
Se: 0.0000 0.0000 0.2329 [6 per cell]  3 Ac 3.13
Se: 0.0127 0.5063 0.2304 [18 per cell]  1 Pu 3.01, 2 Ac 3.14

Properties
The density is 5.67 g/cm³. The calculation puts the size of the total moment at 15.00 μB per cell. The density of states at the Fermi level is 40.61 states/eV/cell. The total energy is -5.317 eV/atom. For the raw formation energy, the calculation gives -2617 kJ/mol of formula units.

4.
Computed, not measured: a geometry-optimized Tl3InSe structure at the GGA-PBE level of DFT.

abc: 5.8822 5.8822 5.8822
angles: 90.00 90.00 90.00
With the nearest neighbours (Å) after each atom.
Space group Pm-3m (No. 221)
Inequivalent atoms, fractional coordinates:
Tl: 0.0000 0.0000 0.5000 [3 per cell]  2 Se 2.94
In: 0.5000 0.5000 0.5000 [1 per cell]  12 Tl 4.16
Se: 0.0000 0.0000 0.0000 [1 per cell]  6 Tl 2.94

Properties
The density is 6.58 g/cm³. The calculation puts the size of the total moment at 0.00 μB per cell. The density of states at the Fermi level is 4.90 states/eV/cell. The total energy is -2.437 eV/atom. For the raw formation energy, the calculation gives 110 kJ/mol of formula units. The energy relative to the lowest polymorph listed for this composition comes out at 0.0 meV per atom.

5.
Computed, not measured: a geometry-optimized NaRuRh2C structure at the GGA-PBE level of DFT.

abc: 4.5464 4.5464 3.9459
angles: 90.00 90.00 90.00
With the nearest neighbours (Å) after each atom.
Space group P4/mmm (No. 123)
Inequivalent atoms, fractional coordinates:
Na: 0.0000 0.0000 0.0000 [1 per cell]  2 C 1.97
Ru: 0.5000 0.5000 0.5000 [1 per cell]  8 Rh 3.01, 4 C 3.21
Rh: 0.0000 0.5000 0.0000 [2 per cell]  2 Na 2.27
C: 0.0000 0.0000 0.5000 [1 per cell]  2 Na 1.97

Properties
The density is 6.96 g/cm³. The calculation puts the size of the total moment at 3.57 μB per cell. The density of states at the Fermi level is 8.02 states/eV/cell. The total energy is -4.267 eV/atom. As for the energy of formation: 2637 meV/atom.

6.
Computed, not measured: a geometry-optimized Rb2PuCd2S4 structure at the GGA-PBE level of DFT.

abc: 16.7069 4.0338 8.3455
angles: 90.00 114.57 90.00
With the nearest neighbours (Å) after each atom.
Space group C2/m (No. 12)
Inequivalent atoms, fractional coordinates:
Rb: 0.1262 0.0000 0.0578 [4 per cell]  7 S 3.28-3.67, 1 Cd 3.57
Pu: 0.0000 0.0000 0.5000 [2 per cell]  6 S 2.77-2.80
Cd: 0.1877 0.5000 0.5253 [4 per cell]  3 S 2.60-2.63
S: 0.0251 0.5000 0.2918 [4 per cell]  1 Cd 2.60, 2 Pu 2.80
S: 0.1780 0.0000 0.7189 [4 per cell]  2 Cd 2.63, 1 Pu 2.77

Properties
The density is 4.99 g/cm³. The calculation puts the size of the total moment at 9.21 μB per cell. The density of states at the Fermi level is 23.73 states/eV/cell. The total energy is -4.846 eV/atom. For the raw formation energy, the calculation gives -869 kJ/mol of formula units.

7.
Computed, not measured: a geometry-optimized K3Pr2YS6 structure at the GGA-PBE level of DFT.

abc: 7.2276 12.5187 7.7801
angles: 90.00 108.06 90.00
With the nearest neighbours (Å) after each atom.
Space group C2/m (No. 12)
Inequivalent atoms, fractional coordinates:
K: 0.0000 0.0000 0.0000 [2 per cell]  6 S 3.22-3.30
K: 0.0000 0.3326 0.0000 [4 per cell]  6 S 3.22-3.29
Pr: 0.0000 0.1666 0.5000 [4 per cell]  6 S 2.88
Y: 0.0000 0.5000 0.5000 [2 per cell]  6 S 2.79
S: 0.2308 0.3381 0.7065 [8 per cell]  1 Y 2.79, 2 Pr 2.88
S: 0.2451 0.0000 0.7062 [4 per cell]  1 Y 2.79, 2 Pr 2.88

Properties
The density is 3.38 g/cm³. The calculation puts the size of the total moment at 0.00 μB per cell. The density of states at the Fermi level is 0.00 states/eV/cell. The total energy is -5.528 eV/atom. For the raw formation energy, the calculation gives -2148 kJ/mol of formula units.

8.
Computed, not measured: a geometry-optimized LiAc6Ni2 structure at the GGA-PBE level of DFT.

abc: 10.1886 10.7766 11.0561
angles: 90.00 90.00 90.00
With the nearest neighbours (Å) after each atom.
Space group Immm (No. 71)
Inequivalent atoms, fractional coordinates:
Li: 0.0000 0.0000 0.0000 [2 per cell]  8 Ac 3.26-3.57
Li: 0.0000 0.0000 0.5000 [2 per cell]  12 Ac 3.71-4.05
Ac: 0.0000 0.1963 0.2247 [8 per cell]  1 Ni 2.94, 1 Li 3.26
Ac: 0.1848 0.5000 0.1751 [8 per cell]  3 Ni 2.94-3.19
Ac: 0.2035 0.3231 0.5000 [8 per cell]  2 Ni 3.12
Ni: 0.0000 0.3420 0.0000 [4 per cell]  6 Ac 2.94-3.19
Ni: 0.0000 0.5000 0.3792 [4 per cell]  1 Ni 2.67, 2 Ac 2.94

Properties
The density is 8.13 g/cm³. The calculation puts the size of the total moment at 0.00 μB per cell. The density of states at the Fermi level is 36.76 states/eV/cell. The total energy is -4.337 eV/atom. As for the energy of formation: -101 meV/atom.

9.
Computed, not measured: a geometry-optimized Ac2DySnPd6 structure at the GGA-PBE level of DFT.

abc: 10.1656 10.1656 10.1656
angles: 90.00 90.00 90.00
With the nearest neighbours (Å) after each atom.
Space group Fm-3m (No. 225)
Inequivalent atoms, fractional coordinates:
Ac: 0.2500 0.2500 0.2500 [8 per cell]  12 Pd 3.59
Dy: 0.0000 0.0000 0.0000 [4 per cell]  6 Pd 2.56
Sn: 0.0000 0.0000 0.5000 [4 per cell]  6 Pd 2.52
Pd: 0.0000 0.0000 0.2518 [24 per cell]  1 Sn 2.52, 1 Dy 2.56

Properties
The density is 8.69 g/cm³. The calculation puts the size of the total moment at 0.00 μB per cell. The density of states at the Fermi level is 36.94 states/eV/cell. The total energy is -5.051 eV/atom. As for the energy of formation: -253 meV/atom.

10.
Computed, not measured: a geometry-optimized PuZnN structure at the GGA-PBE level of DFT.

abc: 4.0767 4.0767 21.0172
angles: 90.00 90.00 120.00
With the nearest neighbours (Å) after each atom.
Space group R-3m (No. 166, hexagonal axes)
Inequivalent atoms, fractional coordinates:
Pu: 0.0000 0.0000 0.1055 [6 per cell]  4 N 2.23-2.38
Zn: 0.0000 0.0000 0.3202 [6 per cell]  1 N 2.28, 3 Zn 2.42
N: 0.0000 0.0000 0.2117 [6 per cell]  4 Pu 2.23-2.38, 1 Zn 2.28

Properties
The density is 10.65 g/cm³. The calculation puts the size of the total moment at 28.93 μB per cell. The density of states at the Fermi level is 40.52 states/eV/cell. The total energy is -8.704 eV/atom. For the raw formation energy, the calculation gives -210 kJ/mol of formula units. The energy relative to the lowest polymorph listed for this composition comes out at 22.3 meV per atom.

11.
Computed, not measured: a geometry-optimized AgPtNO2 structure at the GGA-PBE level of DFT.

abc: 4.1882 4.1882 3.6915
angles: 90.00 90.00 90.00
With the nearest neighbours (Å) after each atom.
Space group P4/mmm (No. 123)
Inequivalent atoms, fractional coordinates:
Ag: 0.0000 0.0000 0.0000 [1 per cell]  8 O 2.79, 4 N 2.96
Pt: 0.5000 0.5000 0.5000 [1 per cell]  2 N 1.85
N: 0.5000 0.5000 0.0000 [1 per cell]  2 Pt 1.85
O: 0.0000 0.5000 0.5000 [2 per cell]  2 Pt 2.09

Properties
The density is 8.95 g/cm³. The calculation puts the size of the total moment at 0.29 μB per cell. The density of states at the Fermi level is 5.27 states/eV/cell. The total energy is -4.775 eV/atom. For the raw formation energy, the calculation gives 314 kJ/mol of formula units.

12.
Computed, not measured: a geometry-optimized HfMg2Ga2 structure at the GGA-PBE level of DFT.

abc: 7.9186 7.9186 3.0267
angles: 90.00 90.00 90.00
With the nearest neighbours (Å) after each atom.
Space group P4/mbm (No. 127)
Inequivalent atoms, fractional coordinates:
Hf: 0.0000 0.0000 0.0000 [2 per cell]  2 Hf 3.03, 4 Mg 3.13, 8 Ga 3.29
Mg: 0.1252 0.3748 0.0000 [4 per cell]  6 Ga 2.70-2.84, 1 Mg 2.80
Ga: 0.1749 0.6749 0.5000 [4 per cell]  6 Mg 2.70-2.84

Properties
The density is 6.41 g/cm³. The calculation puts the size of the total moment at 0.00 μB per cell. The density of states at the Fermi level is 3.98 states/eV/cell. The total energy is -3.871 eV/atom. The energy relative to the lowest polymorph listed for this composition comes out at 88.8 meV per atom. As for the energy of formation: -32 meV/atom.